TmHgTe | OQMD | GGA-PBE | optimized geometry; space-group type = F-43m; polymorph energy (0 for the lowest one) = 211 meV per atom
1.0
2.4474 -3.1001 -3.2685
2.0148 -4.4087 1.6695
-2.1144 -4.4654 -1.3686
Hg Te Tm
1 1 1
direct
0.5000 0.5000 0.5000
0.2500 0.2500 0.2500
0.0000 0.0000 0.0000